Material: CaMgSc2Ir
Method: DFT, PBE
State: optimized geometry

Output
The mass density is 4.31 g/cm3. Its energy is -26.6 eV/cell. The value obtained for the volume is 26.70 Å³/atom. Its total magnetic moment is 0.00 Bohr magnetons per cell. As for the formation energy from the elements: -0.292 eV/atom.

a b c (Å): 5.0527 5.0527 5.2293
angles (deg): 90.00 90.00 90.00
Sites, in units of the cell vectors:
Ca 0.5000 0.5000 0.5000
Sc 0.5000 0.0000 0.0000
Sc 0.0000 0.5000 0.0000
Mg 0.0000 0.0000 0.5000
Ir 0.0000 0.0000 0.0000